# 1
# PmErCd4 PBE-GGA relaxed
data_PmErCd4
_chemical_formula_sum 'Pm1 Er1 Cd4'
_cell_length_a 3.4221
_cell_length_b 5.0126
_cell_length_c 8.6865
_cell_angle_alpha 90.00
_cell_angle_beta 90.00
_cell_angle_gamma 90.00
_space_group_name_H-M_alt 'P m m m'
_space_group_IT_number 47
_space_group_name_Hall '-P 2 2'
loop_
_atom_site_label
_atom_site_type_symbol
_atom_site_fract_x
_atom_site_fract_y
_atom_site_fract_z
Pm1 Pm 0.0000 0.0000 0.0000
Er1 Er 0.0000 0.5000 0.5000
Cd1 Cd 0.5000 0.0000 0.3367
Cd2 Cd 0.5000 0.5000 0.1708
# * total DFT energy (no corrections): -2.481 eV per atom
# * calculated formation energy: -318 meV/atom
# * E above lowest polymorph: 0 meV per atom
# * calculated density: 8.491 g/cm³
# * N(E_F): 4.34 states/eV/f.u.

***

# 2
# Pm2ErCd PBE-GGA relaxed
data_Pm2ErCd
_chemical_formula_sum 'Pm16 Er8 Cd8'
_cell_length_a 7.3209
_cell_length_b 7.3301
_cell_length_c 17.9705
_cell_angle_alpha 90.00
_cell_angle_beta 90.00
_cell_angle_gamma 90.00
_space_group_name_H-M_alt 'F m m m'
_space_group_IT_number 69
_space_group_name_Hall '-F 2 2'
loop_
_atom_site_label
_atom_site_type_symbol
_atom_site_fract_x
_atom_site_fract_y
_atom_site_fract_z
Pm1 Pm 0.0000 0.0000 0.1357
Pm2 Pm 0.2500 0.2500 0.0000
Er1 Er 0.0000 0.0000 0.3588
Cd1 Cd 0.2500 0.2500 0.2500
# * total DFT energy (no corrections): -3.894 eV per atom
# * calculated formation energy: -149 meV/atom
# * E above lowest polymorph: 0 meV per atom
# * calculated density: 7.847 g/cm³
# * N(E_F): 4.15 states/eV/f.u.

***

# 3
# Pm2Er3Cd2 PBE-GGA relaxed
data_Pm2Er3Cd2
_chemical_formula_sum 'Pm4 Er6 Cd4'
_cell_length_a 3.5527
_cell_length_b 32.8799
_cell_length_c 3.5124
_cell_angle_alpha 90.00
_cell_angle_beta 90.00
_cell_angle_gamma 90.00
_space_group_name_H-M_alt 'C m m m'
_space_group_IT_number 65
_space_group_name_Hall '-C 2 2'
loop_
_atom_site_label
_atom_site_type_symbol
_atom_site_fract_x
_atom_site_fract_y
_atom_site_fract_z
Pm1 Pm 0.0000 0.2024 0.0000
Er1 Er 0.0000 0.0740 0.0000
Er2 Er 0.0000 0.5000 0.5000
Cd1 Cd 0.0000 0.3642 0.5000
# * total DFT energy (no corrections): -3.680 eV per atom
# * calculated formation energy: -106 meV/atom
# * E above lowest polymorph: 37 meV per atom
# * calculated density: 8.229 g/cm³
# * N(E_F): 8.28 states/eV/f.u.

***

# 4
# PmErPuCd PBE-GGA relaxed
data_PmErPuCd
_chemical_formula_sum 'Pm4 Er4 Pu4 Cd4'
_cell_length_a 7.6845
_cell_length_b 7.6845
_cell_length_c 7.6845
_cell_angle_alpha 90.00
_cell_angle_beta 90.00
_cell_angle_gamma 90.00
_space_group_name_H-M_alt 'F -4 3 m'
_space_group_IT_number 216
_space_group_name_Hall 'F -4 2 3'
loop_
_atom_site_label
_atom_site_type_symbol
_atom_site_fract_x
_atom_site_fract_y
_atom_site_fract_z
Pm1 Pm 0.0000 0.0000 0.0000
Er1 Er 0.0000 0.0000 0.5000
Pu1 Pu 0.2500 0.2500 0.2500
Cd1 Cd 0.2500 0.2500 0.7500
# * total DFT energy (no corrections): -6.065 eV per atom
# * calculated formation energy: 75 meV/atom
# * calculated density: 9.788 g/cm³
# * N(E_F): 14.55 states/eV/f.u.

***

# 5
# PmErCdRh PBE-GGA relaxed
data_PmErCdRh
_chemical_formula_sum 'Pm4 Er4 Cd4 Rh4'
_cell_length_a 7.2132
_cell_length_b 7.2132
_cell_length_c 7.2132
_cell_angle_alpha 90.00
_cell_angle_beta 90.00
_cell_angle_gamma 90.00
_space_group_name_H-M_alt 'F -4 3 m'
_space_group_IT_number 216
_space_group_name_Hall 'F -4 2 3'
loop_
_atom_site_label
_atom_site_type_symbol
_atom_site_fract_x
_atom_site_fract_y
_atom_site_fract_z
Pm1 Pm 0.0000 0.0000 0.0000
Er1 Er 0.0000 0.0000 0.5000
Cd1 Cd 0.2500 0.2500 0.7500
Rh1 Rh 0.2500 0.2500 0.2500
# * total DFT energy (no corrections): -4.890 eV per atom
# * calculated formation energy: -495 meV/atom
# * calculated density: 9.337 g/cm³
# * N(E_F): 2.32 states/eV/f.u.

***

# 6
# PmErCdRu PBE-GGA relaxed
data_PmErCdRu
_chemical_formula_sum 'Pm4 Er4 Cd4 Ru4'
_cell_length_a 7.1794
_cell_length_b 7.1794
_cell_length_c 7.1794
_cell_angle_alpha 90.00
_cell_angle_beta 90.00
_cell_angle_gamma 90.00
_space_group_name_H-M_alt 'F -4 3 m'
_space_group_IT_number 216
_space_group_name_Hall 'F -4 2 3'
loop_
_atom_site_label
_atom_site_type_symbol
_atom_site_fract_x
_atom_site_fract_y
_atom_site_fract_z
Pm1 Pm 0.0000 0.0000 0.0000
Er1 Er 0.0000 0.0000 0.5000
Cd1 Cd 0.2500 0.2500 0.7500
Ru1 Ru 0.2500 0.2500 0.2500
# * total DFT energy (no corrections): -5.122 eV per atom
# * calculated formation energy: -246 meV/atom
# * E above lowest polymorph: 109 meV per atom
# * calculated density: 9.437 g/cm³
# * N(E_F): 3.33 states/eV/f.u.

***

# 7
# PmErCdRu PBE-GGA relaxed
data_PmErCdRu
_chemical_formula_sum 'Pm1 Er1 Cd1 Ru1'
_cell_length_a 3.4920
_cell_length_b 3.4920
_cell_length_c 7.7442
_cell_angle_alpha 90.00
_cell_angle_beta 90.00
_cell_angle_gamma 90.00
_space_group_name_H-M_alt 'P 4 m m'
_space_group_IT_number 99
_space_group_name_Hall 'P 4 -2'
loop_
_atom_site_label
_atom_site_type_symbol
_atom_site_fract_x
_atom_site_fract_y
_atom_site_fract_z
Pm1 Pm 0.0000 0.0000 0.0000
Er1 Er 0.0000 0.0000 0.5685
Cd1 Cd 0.5000 0.5000 0.2981
Ru1 Ru 0.5000 0.5000 0.7727
# * total DFT energy (no corrections): -5.231 eV per atom
# * calculated formation energy: -355 meV/atom
# * E above lowest polymorph: 0 meV per atom
# * calculated density: 9.245 g/cm³
# * N(E_F): 3.59 states/eV/f.u.

***

# 8
# PmErCdSb PBE-GGA relaxed
data_PmErCdSb
_chemical_formula_sum 'Pm4 Er4 Cd4 Sb4'
_cell_length_a 7.5646
_cell_length_b 7.5646
_cell_length_c 7.5646
_cell_angle_alpha 90.00
_cell_angle_beta 90.00
_cell_angle_gamma 90.00
_space_group_name_H-M_alt 'F -4 3 m'
_space_group_IT_number 216
_space_group_name_Hall 'F -4 2 3'
loop_
_atom_site_label
_atom_site_type_symbol
_atom_site_fract_x
_atom_site_fract_y
_atom_site_fract_z
Pm1 Pm 0.0000 0.0000 0.0000
Er1 Er 0.0000 0.0000 0.5000
Cd1 Cd 0.2500 0.2500 0.2500
Sb1 Sb 0.2500 0.2500 0.7500
# * total DFT energy (no corrections): -4.111 eV per atom
# * calculated density: 8.385 g/cm³
# * N(E_F): 4.05 states/eV/f.u.
# * raw formation energy: -2.09 eV/f.u.

***

# 9
# PmErCdTc PBE-GGA relaxed
data_PmErCdTc
_chemical_formula_sum 'Pm4 Er4 Cd4 Tc4'
_cell_length_a 7.1870
_cell_length_b 7.1870
_cell_length_c 7.1870
_cell_angle_alpha 90.00
_cell_angle_beta 90.00
_cell_angle_gamma 90.00
_space_group_name_H-M_alt 'F -4 3 m'
_space_group_IT_number 216
_space_group_name_Hall 'F -4 2 3'
loop_
_atom_site_label
_atom_site_type_symbol
_atom_site_fract_x
_atom_site_fract_y
_atom_site_fract_z
Pm1 Pm 0.0000 0.0000 0.0000
Er1 Er 0.0000 0.0000 0.5000
Cd1 Cd 0.2500 0.2500 0.2500
Tc1 Tc 0.2500 0.2500 0.7500
# * total DFT energy (no corrections): -5.203 eV per atom
# * calculated formation energy: -54 meV/atom
# * calculated density: 9.352 g/cm³
# * N(E_F): 2.66 states/eV/f.u.

***

# 10
# PmErThCd PBE-GGA relaxed
data_PmErThCd
_chemical_formula_sum 'Pm4 Er4 Th4 Cd4'
_cell_length_a 7.7725
_cell_length_b 7.7725
_cell_length_c 7.7725
_cell_angle_alpha 90.00
_cell_angle_beta 90.00
_cell_angle_gamma 90.00
_space_group_name_H-M_alt 'F -4 3 m'
_space_group_IT_number 216
_space_group_name_Hall 'F -4 2 3'
loop_
_atom_site_label
_atom_site_type_symbol
_atom_site_fract_x
_atom_site_fract_y
_atom_site_fract_z
Pm1 Pm 0.0000 0.0000 0.0000
Er1 Er 0.2500 0.2500 0.7500
Th1 Th 0.2500 0.2500 0.2500
Cd1 Cd 0.0000 0.0000 0.5000
# * total DFT energy (no corrections): -4.332 eV per atom
# * calculated formation energy: 80 meV/atom
# * E above lowest polymorph: 244 meV per atom
# * calculated density: 9.290 g/cm³
# * N(E_F): 7.62 states/eV/f.u.

***

# 11
# PmErThCd PBE-GGA relaxed
data_PmErThCd
_chemical_formula_sum 'Pm1 Er1 Th1 Cd1'
_cell_length_a 3.6232
_cell_length_b 3.6232
_cell_length_c 8.9200
_cell_angle_alpha 90.00
_cell_angle_beta 90.00
_cell_angle_gamma 90.00
_space_group_name_H-M_alt 'P 4 m m'
_space_group_IT_number 99
_space_group_name_Hall 'P 4 -2'
loop_
_atom_site_label
_atom_site_type_symbol
_atom_site_fract_x
_atom_site_fract_y
_atom_site_fract_z
Pm1 Pm 0.0000 0.0000 0.0000
Er1 Er 0.0000 0.0000 0.4631
Th1 Th 0.5000 0.5000 0.7263
Cd1 Cd 0.5000 0.5000 0.2436
# * total DFT energy (no corrections): -4.576 eV per atom
# * calculated formation energy: -164 meV/atom
# * E above lowest polymorph: 0 meV per atom
# * calculated density: 9.313 g/cm³
# * N(E_F): 4.13 states/eV/f.u.

***

# 12
# PmErTlCd PBE-GGA relaxed
data_PmErTlCd
_chemical_formula_sum 'Pm4 Er4 Tl4 Cd4'
_cell_length_a 7.6032
_cell_length_b 7.6032
_cell_length_c 7.6032
_cell_angle_alpha 90.00
_cell_angle_beta 90.00
_cell_angle_gamma 90.00
_space_group_name_H-M_alt 'F -4 3 m'
_space_group_IT_number 216
_space_group_name_Hall 'F -4 2 3'
loop_
_atom_site_label
_atom_site_type_symbol
_atom_site_fract_x
_atom_site_fract_y
_atom_site_fract_z
Pm1 Pm 0.0000 0.0000 0.0000
Er1 Er 0.0000 0.0000 0.5000
Tl1 Tl 0.2500 0.2500 0.2500
Cd1 Cd 0.2500 0.2500 0.7500
# * total DFT energy (no corrections): -3.487 eV per atom
# * calculated formation energy: -338 meV/atom
# * calculated density: 9.506 g/cm³
# * N(E_F): 4.57 states/eV/f.u.

***

> What is the N(E_F) in the seventh record?

3.59 states/eV/f.u.

***

Repeat the seventh record exactly.
# PmErCdRu PBE-GGA relaxed
data_PmErCdRu
_chemical_formula_sum 'Pm1 Er1 Cd1 Ru1'
_cell_length_a 3.4920
_cell_length_b 3.4920
_cell_length_c 7.7442
_cell_angle_alpha 90.00
_cell_angle_beta 90.00
_cell_angle_gamma 90.00
_space_group_name_H-M_alt 'P 4 m m'
_space_group_IT_number 99
_space_group_name_Hall 'P 4 -2'
loop_
_atom_site_label
_atom_site_type_symbol
_atom_site_fract_x
_atom_site_fract_y
_atom_site_fract_z
Pm1 Pm 0.0000 0.0000 0.0000
Er1 Er 0.0000 0.0000 0.5685
Cd1 Cd 0.5000 0.5000 0.2981
Ru1 Ru 0.5000 0.5000 0.7727
# * total DFT energy (no corrections): -5.231 eV per atom
# * calculated formation energy: -355 meV/atom
# * E above lowest polymorph: 0 meV per atom
# * calculated density: 9.245 g/cm³
# * N(E_F): 3.59 states/eV/f.u.